(1)
The following is a DFT calculation (GGA-PBE) of an optimized crystal structure of Mg3AsN.

The structure belongs to space group Pm-3m (No. 221); the cell edges are 4.244, 4.244 and 4.244 Å and the angles 90.00°, 90.00° and 90.00°. The inequivalent atoms are Mg at (0.000, 0.000, 0.500), As at (0.500, 0.500, 0.500) and N at (0.000, 0.000, 0.000).

The calculation puts the calculated density at 3.5 Mg/m³. The value obtained for the calculated total energy is -4.292 eV per atom. The value obtained for the uncorrected formation energy is -0.740 eV/atom.

***

(2)
The following is a DFT calculation (GGA-PBE) of an optimized crystal structure of Rb2Hg2P.

The structure belongs to space group P4/mbm (No. 127); the cell edges are 7.739, 7.739 and 5.555 Å and the angles 90.00°, 90.00° and 90.00°. The inequivalent atoms are Rb at (0.179, 0.321, 0.000), Hg at (0.141, 0.641, 0.500) and P at (0.000, 0.000, 0.500).

The calculation puts the calculated density at 6.0 Mg/m³. The energy above the most stable polymorph in this dataset comes out at 0.25 eV/f.u. The value obtained for the calculated total energy is -1.634 eV per atom. As for the formation energy: -0.0443 eV/atom.